(1)
RbNa2CrI: optimized geometry, PBE.

- Space group: P4/mmm (123)
- Calculated volume: 46.46 Å³/atom
- Total magnetization: 1.037 μB/atom
- VASP energy: -2.68 eV/atom
- D(E_F): 3.3 states/eV/f.u.

Cell: 6.3130 5.8282 6.3130 Å, 90.00 90.00 90.00°
Sites, in units of the cell vectors:
1 I 0.0000 0.0000 0.0000
2 Cr 0.0000 0.5000 0.0000
3 Rb 0.5000 0.5000 0.5000
4 Na 0.0000 0.0000 0.5000
5 Na 0.5000 0.0000 0.0000

(2)
Tl12BiSb6: optimized geometry, PBE.

- Space group: R-3 (148)
- Calculated volume: 32.62 Å³/atom
- Total magnetization: 0.000 μB/atom
- VASP energy: -2.97 eV/atom
- D(E_F): 7.2 states/eV/f.u.

Cell: 8.5956 8.5956 8.5956 Å, 96.97 96.97 96.97°
Sites, in units of the cell vectors:
1 Tl 0.3568 0.0685 0.3123
2 Tl 0.0685 0.3123 0.3568
3 Tl 0.3123 0.3568 0.0685
4 Tl 0.6432 0.9315 0.6877
5 Tl 0.9315 0.6877 0.6432
6 Tl 0.6877 0.6432 0.9315
7 Tl 0.1509 0.0741 0.6590
8 Tl 0.3410 0.8491 0.9259
9 Tl 0.9259 0.3410 0.8491
10 Tl 0.8491 0.9259 0.3410
11 Tl 0.6590 0.1509 0.0741
12 Tl 0.0741 0.6590 0.1509
13 Bi 0.0000 0.0000 0.0000
14 Sb 0.2469 0.4996 0.7022
15 Sb 0.5004 0.2978 0.7531
16 Sb 0.2978 0.7531 0.5004
17 Sb 0.7531 0.5004 0.2978
18 Sb 0.4996 0.7022 0.2469
19 Sb 0.7022 0.2469 0.4996

(3)
Al4Zn3Ag: optimized geometry, PBE.

- Space group: C2/m (12)
- Calculated formation energy: 0.02 eV/atom
- Calculated volume: 16.21 Å³/atom
- Total magnetization: 0.000 μB/atom
- D(E_F): 2.7 states/eV/f.u.

Cell: 2.8187 4.8553 9.8798 Å, 75.80 98.20 90.00°
Sites, in units of the cell vectors:
1 Al 0.3754 0.4609 0.7507
2 Al 0.6246 0.5391 0.2493
3 Al 0.7491 0.7498 0.4982
4 Al 0.2509 0.2502 0.5018
5 Zn 0.0000 0.5000 0.0000
6 Zn 0.1262 0.0422 0.2524
7 Zn 0.8738 0.9578 0.7476
8 Ag 0.5000 0.0000 0.0000

(4)
Y2ReBr: optimized geometry, PBE.

- Space group: P4/mmm (123)
- Calculated volume: 24.07 Å³/atom
- Total magnetization: 0.000 μB/atom
- VASP energy: -7.23 eV/atom
- D(E_F): 2.2 states/eV/f.u.

Cell: 3.4675 3.4675 8.0090 Å, 90.00 90.00 90.07°
Sites, in units of the cell vectors:
1 Y 0.0000 0.0000 0.9555
2 Y 0.0000 0.0000 0.5445
3 Re 0.5000 0.5000 0.7500
4 Br 0.5000 0.5000 0.2500